Entry 1:
A plane-wave DFT calculation with GGA-PBE was carried out for a geometry-optimized Pm2MgF8 structure.

As for the uncorrected formation energy: -42.476 eV/f.u. The calculation puts the magnetic moment at 0.00 μB/cell. The value obtained for the energy above the most stable polymorph in this dataset is 0.290 kcal/mol of atoms. The calculation puts the energy at -6.231 eV per atom.

Cell: 14.636 3.774 5.336 Å, 90.00 110.99 90.00°
Space group C2/m (No. 12)
One atom of each set of equivalent atoms:
Pm  0.169  0.000  0.164
Mg  0.000  0.500  0.500
F  0.037  0.000  0.752
F  0.090  0.500  0.288
F  0.172  0.500  0.889
F  0.223  0.000  0.627

---

Entry 2:
A plane-wave DFT calculation with GGA-PBE was carried out for a geometry-optimized La3Y2Tl4 structure.

The calculation puts the magnetic moment at 0.00 μB/cell. The calculation puts the energy of formation from the pure elements at -0.34 eV per atom. The calculation puts the energy at -4.473 eV per atom.

Cell: 9.444 5.450 10.668 Å, 90.00 90.05 90.00°
Space group C2/m (No. 12)
One atom of each set of equivalent atoms:
La  0.000  0.000  0.000
La  0.167  0.500  0.577
Y  0.166  0.500  0.218
Tl  0.000  0.000  0.341
Tl  0.167  0.500  0.897

---

Entry 3:
A plane-wave DFT calculation with GGA-PBE was carried out for a geometry-optimized PrErMo4 structure.

The calculation puts the magnetic moment at 0.00 μB/cell. The calculation puts the energy of formation from the pure elements at 0.19 eV per atom. The calculation puts the energy at -8.592 eV per atom.

Cell: 7.851 7.851 7.851 Å, 90.00 90.00 90.00°
Space group F-43m (No. 216)
One atom of each set of equivalent atoms:
Pr  0.000  0.000  0.000
Er  0.250  0.250  0.750
Mo  0.125  0.125  0.375